[1]
DFT (PBE-GGA) results for crystalline KZnGaAu4 at its relaxed geometry.

Geometry as CIF:
```
data_KZnGaAu4
_chemical_formula_sum 'K4 Zn4 Ga4 Au16'
_cell_length_a 11.997
_cell_length_b 6.497
_cell_length_c 9.615
_cell_angle_alpha 90.00
_cell_angle_beta 90.08
_cell_angle_gamma 90.00
_space_group_name_H-M_alt 'C 1 2/m 1'
_space_group_IT_number 12
loop_
_space_group_symop_operation_xyz
'x,y,z'
'-x,-y,-z'
'-x,y,-z'
'x,-y,z'
'x+1/2,y+1/2,z'
'-x+1/2,-y+1/2,-z'
'-x+1/2,y+1/2,-z'
'x+1/2,-y+1/2,z'
loop_
_atom_site_label
_atom_site_fract_x
_atom_site_fract_y
_atom_site_fract_z
K1 0.081 0.000 0.245
Zn1 0.113 0.500 0.679
Ga1 0.248 0.000 0.759
Au1 0.053 0.500 0.129
Au2 0.098 0.500 0.418
Au3 0.162 0.280 0.900
```

Properties
Density, g/cm3: 8.53
Energy, eV per atom: -2.816
Total moment, μB per atom: 0.000
E_form, eV/atom: -0.17


[2]
DFT (PBE-GGA) results for crystalline MgAgP at its relaxed geometry.

Geometry as CIF:
```
data_MgAgP
_chemical_formula_sum 'Mg4 Ag4 P4'
_cell_length_a 7.085
_cell_length_b 6.632
_cell_length_c 5.057
_cell_angle_alpha 90.00
_cell_angle_beta 91.35
_cell_angle_gamma 90.00
_space_group_name_H-M_alt 'C 1 2 1'
_space_group_IT_number 5
loop_
_space_group_symop_operation_xyz
'x,y,z'
'-x,y,-z'
'x+1/2,y+1/2,z'
'-x+1/2,y+1/2,-z'
loop_
_atom_site_label
_atom_site_fract_x
_atom_site_fract_y
_atom_site_fract_z
Mg1 0.146 0.000 0.237
Ag1 0.000 0.409 0.500
Ag2 0.000 0.613 0.000
P1 0.207 0.123 0.736
```

Properties
Density, g/cm3: 4.56
Energy, eV per atom: -3.506
Total moment, μB per atom: 0.000
E_form, eV/atom: -0.22


[3]
DFT (PBE-GGA) results for crystalline TlHg15Pb4 at its relaxed geometry.

Geometry as CIF:
```
data_TlHg15Pb4
_chemical_formula_sum 'Tl1 Hg15 Pb4'
_cell_length_a 5.552
_cell_length_b 5.552
_cell_length_c 18.333
_cell_angle_alpha 90.00
_cell_angle_beta 90.00
_cell_angle_gamma 90.00
_space_group_name_H-M_alt 'P 4/m m m'
_space_group_IT_number 123
_space_group_name_Hall '-P 4 2'
loop_
_atom_site_label
_atom_site_fract_x
_atom_site_fract_y
_atom_site_fract_z
Tl1 0.000 0.000 0.000
Hg1 0.000 0.500 0.101
Hg2 0.000 0.500 0.302
Hg3 0.000 0.500 0.500
Hg4 0.500 0.500 0.000
Hg5 0.500 0.500 0.200
Hg6 0.500 0.500 0.400
Pb1 0.000 0.000 0.208
Pb2 0.000 0.000 0.401
```

Properties
Density, g/cm3: 11.88
Energy, eV per atom: -1.055
Total moment, μB per atom: 0.000
E_form, eV/atom: 0.03


[4]
DFT (PBE-GGA) results for crystalline Tb3As5Se12 at its relaxed geometry.

Geometry as CIF:
```
data_Tb3As5Se12
_chemical_formula_sum 'Tb24 As40 Se96'
_cell_length_a 16.319
_cell_length_b 16.319
_cell_length_c 16.319
_cell_angle_alpha 90.00
_cell_angle_beta 90.00
_cell_angle_gamma 90.00
_space_group_name_H-M_alt 'I a -3 d'
_space_group_IT_number 230
_space_group_name_Hall '-I 4bd 2c 3'
loop_
_atom_site_label
_atom_site_fract_x
_atom_site_fract_y
_atom_site_fract_z
Tb1 0.000 0.250 0.125
As1 0.000 0.000 0.000
As2 0.000 0.250 0.375
Se1 0.019 0.064 0.652
```

Properties
Density, g/cm3: 5.50
Energy, eV per atom: -4.590
Total moment, μB per atom: 0.000
Raw formation energy, kJ/mol of formula units: -1239


[5]
DFT (PBE-GGA) results for crystalline Ag3TeMo at its relaxed geometry.

Geometry as CIF:
```
data_Ag3TeMo
_chemical_formula_sum 'Ag3 Te1 Mo1'
_cell_length_a 5.292
_cell_length_b 5.292
_cell_length_c 5.292
_cell_angle_alpha 90.00
_cell_angle_beta 90.00
_cell_angle_gamma 90.00
_space_group_name_H-M_alt 'P m -3 m'
_space_group_IT_number 221
_space_group_name_Hall '-P 4 2 3'
loop_
_atom_site_label
_atom_site_fract_x
_atom_site_fract_y
_atom_site_fract_z
Ag1 0.000 0.000 0.500
Te1 0.000 0.000 0.000
Mo1 0.500 0.500 0.500
```

Properties
Density, g/cm3: 6.13
Energy, eV per atom: -3.219
Energy above the most stable polymorph in this dataset, meV/atom: 0
Total moment, μB per atom: 1.010
Raw formation energy, kJ/mol of formula units: 620


[6]
DFT (PBE-GGA) results for crystalline DyTmHg6 at its relaxed geometry.

Geometry as CIF:
```
data_DyTmHg6
_chemical_formula_sum 'Dy2 Tm2 Hg12'
_cell_length_a 4.999
_cell_length_b 6.714
_cell_length_c 11.338
_cell_angle_alpha 90.00
_cell_angle_beta 90.00
_cell_angle_gamma 90.00
_space_group_name_H-M_alt 'A m m 2'
_space_group_IT_number 38
loop_
_space_group_symop_operation_xyz
'x,y,z'
'-x,-y,z'
'-x,y,z'
'x,-y,z'
'x,y+1/2,z+1/2'
'-x,-y+1/2,z+1/2'
'-x,y+1/2,z+1/2'
'x,-y+1/2,z+1/2'
loop_
_atom_site_label
_atom_site_fract_x
_atom_site_fract_y
_atom_site_fract_z
Dy1 0.000 0.000 0.000
Tm1 0.500 0.000 0.684
Hg1 0.000 0.000 0.513
Hg2 0.000 0.245 0.255
Hg3 0.500 0.000 0.172
Hg4 0.500 0.242 0.428
```

Properties
Density, g/cm3: 13.39
Energy, eV per atom: -1.684
Energy above the most stable polymorph in this dataset, meV/atom: 0
Total moment, μB per atom: 0.000
E_form, eV/atom: -0.32


[7]
DFT (PBE-GGA) results for crystalline BiRh at its relaxed geometry.

Geometry as CIF:
```
data_BiRh
_chemical_formula_sum 'Bi2 Rh2'
_cell_length_a 3.4968
_cell_length_b 3.4968
_cell_length_c 8.9828
_cell_angle_alpha 90.00
_cell_angle_beta 90.00
_cell_angle_gamma 120.00
_space_group_name_H-M_alt 'P 63 m c'
_space_group_IT_number 186
_space_group_name_Hall 'P 6c -2c'
loop_
_atom_site_label
_atom_site_fract_x
_atom_site_fract_y
_atom_site_fract_z
Bi1 0.3333 0.6667 0.0000
Rh1 0.3333 0.6667 0.6945
```

Properties
Density, g/cm3: 10.89
Energy, eV per atom: -5.412
Total moment, μB per atom: 0.000
E_form, eV/atom: 0.20


[8]
DFT (PBE-GGA) results for crystalline CdHS at its relaxed geometry.

Geometry as CIF:
```
data_CdHS
_chemical_formula_sum 'Cd4 H4 S4'
_cell_length_a 7.486
_cell_length_b 4.325
_cell_length_c 8.326
_cell_angle_alpha 90.00
_cell_angle_beta 93.86
_cell_angle_gamma 90.00
_space_group_name_H-M_alt 'C 1 2/m 1'
_space_group_IT_number 12
loop_
_space_group_symop_operation_xyz
'x,y,z'
'-x,-y,-z'
'-x,y,-z'
'x,-y,z'
'x+1/2,y+1/2,z'
'-x+1/2,-y+1/2,-z'
'-x+1/2,y+1/2,-z'
'x+1/2,-y+1/2,z'
loop_
_atom_site_label
_atom_site_fract_x
_atom_site_fract_y
_atom_site_fract_z
Cd1 0.156 0.000 0.358
H1 0.047 0.500 0.018
S1 0.181 0.000 0.695
```

Properties
Density, g/cm3: 3.59
Energy, eV per atom: -3.146
Total moment, μB per atom: 0.000


[9]
DFT (PBE-GGA) results for crystalline MgCdSn2Pd at its relaxed geometry.

Geometry as CIF:
```
data_MgCdSn2Pd
_chemical_formula_sum 'Mg2 Cd2 Sn4 Pd2'
_cell_length_a 4.132
_cell_length_b 4.132
_cell_length_c 13.349
_cell_angle_alpha 90.00
_cell_angle_beta 90.00
_cell_angle_gamma 90.00
_space_group_name_H-M_alt 'P 4/n m m'
_space_group_IT_number 129
loop_
_space_group_symop_operation_xyz
'x,y,z'
'-x,-y,-z'
'-y+1/2,x,z'
'y+1/2,-x,-z'
'-x+1/2,-y+1/2,z'
'x+1/2,y+1/2,-z'
'y,-x+1/2,z'
'-y,x+1/2,-z'
'x+1/2,-y,-z'
'-x+1/2,y,z'
'-y,-x,-z'
'y,x,z'
'-x,y+1/2,-z'
'x,-y+1/2,z'
'y+1/2,x+1/2,-z'
'-y+1/2,-x+1/2,z'
loop_
_atom_site_label
_atom_site_fract_x
_atom_site_fract_y
_atom_site_fract_z
Mg1 0.250 0.250 0.224
Cd1 0.250 0.750 0.000
Sn1 0.250 0.250 0.435
Sn2 0.250 0.250 0.838
Pd1 0.250 0.250 0.635
```

Properties
Density, g/cm3: 7.00
Energy, eV per atom: -3.246
Total moment, μB per atom: 0.000
E_form, eV/atom: -0.10


[10]
DFT (PBE-GGA) results for crystalline EuInPd4 at its relaxed geometry.

Geometry as CIF:
```
data_EuInPd4
_chemical_formula_sum 'Eu4 In4 Pd16'
_cell_length_a 7.689
_cell_length_b 7.689
_cell_length_c 7.689
_cell_angle_alpha 90.00
_cell_angle_beta 90.00
_cell_angle_gamma 90.00
_space_group_name_H-M_alt 'F -4 3 m'
_space_group_IT_number 216
_space_group_name_Hall 'F -4 2 3'
loop_
_atom_site_label
_atom_site_fract_x
_atom_site_fract_y
_atom_site_fract_z
Eu1 0.000 0.000 0.000
In1 0.250 0.250 0.750
Pd1 0.124 0.124 0.376
```

Properties
Density, g/cm3: 10.12
Energy, eV per atom: -6.197
Total moment, μB per atom: 1.116
E_form, eV/atom: -0.57


[11]
DFT (PBE-GGA) results for crystalline CsMgSc2 at its relaxed geometry.

Geometry as CIF:
```
data_CsMgSc2
_chemical_formula_sum 'Cs3 Mg3 Sc6'
_cell_length_a 3.4241
_cell_length_b 3.4241
_cell_length_c 36.1063
_cell_angle_alpha 90.00
_cell_angle_beta 90.00
_cell_angle_gamma 120.00
_space_group_name_H-M_alt 'R -3 m'
_space_group_IT_number 166
_space_group_name_Hall '-R 3 2"'
loop_
_atom_site_label
_atom_site_fract_x
_atom_site_fract_y
_atom_site_fract_z
Cs1 0.0000 0.0000 0.0000
Mg1 0.0000 0.0000 0.5000
Sc1 0.0000 0.0000 0.0974
```

Properties
Density, g/cm3: 3.36
Energy, eV per atom: -3.313
Total moment, μB per atom: 0.000
E_form, eV/atom: 0.47


[12]
DFT (PBE-GGA) results for crystalline Ho3Ga5S12 at its relaxed geometry.

Geometry as CIF:
```
data_Ho3Ga5S12
_chemical_formula_sum 'Ho24 Ga40 S96'
_cell_length_a 15.033
_cell_length_b 15.033
_cell_length_c 15.033
_cell_angle_alpha 90.00
_cell_angle_beta 90.00
_cell_angle_gamma 90.00
_space_group_name_H-M_alt 'I a -3 d'
_space_group_IT_number 230
_space_group_name_Hall '-I 4bd 2c 3'
loop_
_atom_site_label
_atom_site_fract_x
_atom_site_fract_y
_atom_site_fract_z
Ho1 0.000 0.250 0.125
Ga1 0.000 0.000 0.000
Ga2 0.000 0.250 0.375
S1 0.026 0.060 0.651
```

Properties
Density, g/cm3: 4.80
Energy, eV per atom: -5.068
Total moment, μB per atom: 0.000
Raw formation energy, kJ/mol of formula units: -2216


[13]
DFT (PBE-GGA) results for crystalline Fe2CuHg at its relaxed geometry.

Geometry as CIF:
```
data_Fe2CuHg
_chemical_formula_sum 'Fe4 Cu2 Hg2'
_cell_length_a 9.090
_cell_length_b 2.863
_cell_length_c 4.541
_cell_angle_alpha 90.00
_cell_angle_beta 101.88
_cell_angle_gamma 90.00
_space_group_name_H-M_alt 'C 1 2/m 1'
_space_group_IT_number 12
loop_
_space_group_symop_operation_xyz
'x,y,z'
'-x,-y,-z'
'-x,y,-z'
'x,-y,z'
'x+1/2,y+1/2,z'
'-x+1/2,-y+1/2,-z'
'-x+1/2,y+1/2,-z'
'x+1/2,-y+1/2,z'
loop_
_atom_site_label
_atom_site_fract_x
_atom_site_fract_y
_atom_site_fract_z
Fe1 0.245 0.000 0.215
Cu1 0.000 0.500 0.000
Hg1 0.000 0.000 0.500
```

Properties
Density, g/cm3: 10.79
Energy, eV per atom: -4.955
Energy above the most stable polymorph in this dataset, meV/atom: 115
Total moment, μB per atom: 1.319
E_form, eV/atom: 0.38


[14]
DFT (PBE-GGA) results for crystalline Pr2ZnIn3 at its relaxed geometry.

Geometry as CIF:
```
data_Pr2ZnIn3
_chemical_formula_sum 'Pr16 Zn8 In24'
_cell_length_a 7.686
_cell_length_b 9.763
_cell_length_c 16.854
_cell_angle_alpha 90.00
_cell_angle_beta 90.00
_cell_angle_gamma 90.00
_space_group_name_H-M_alt 'F m m m'
_space_group_IT_number 69
_space_group_name_Hall '-F 2 2'
loop_
_atom_site_label
_atom_site_fract_x
_atom_site_fract_y
_atom_site_fract_z
Pr1 0.250 0.000 0.000
Pr2 0.250 0.250 0.250
Zn1 0.000 0.000 0.167
In1 0.000 0.000 0.329
In2 0.000 0.243 0.086
```

Properties
Density, g/cm3: 7.27
Energy, eV per atom: -3.636
Total moment, μB per atom: 0.000
E_form, eV/atom: -0.46


[15]
DFT (PBE-GGA) results for crystalline K2PuGaS5 at its relaxed geometry.

Geometry as CIF:
```
data_K2PuGaS5
_chemical_formula_sum 'K8 Pu4 Ga4 S20'
_cell_length_a 3.947
_cell_length_b 18.343
_cell_length_c 13.952
_cell_angle_alpha 90.00
_cell_angle_beta 90.00
_cell_angle_gamma 90.00
_space_group_name_H-M_alt 'C m c 21'
_space_group_IT_number 36
loop_
_space_group_symop_operation_xyz
'x,y,z'
'-x,-y,z+1/2'
'-x,y,z'
'x,-y,z+1/2'
'x+1/2,y+1/2,z'
'-x+1/2,-y+1/2,z+1/2'
'-x+1/2,y+1/2,z'
'x+1/2,-y+1/2,z+1/2'
loop_
_atom_site_label
_atom_site_fract_x
_atom_site_fract_y
_atom_site_fract_z
K1 0.000 0.108 0.000
K2 0.000 0.129 0.646
Pu1 0.000 0.205 0.349
Ga1 0.000 0.435 0.746
S1 0.000 0.056 0.346
S2 0.000 0.294 0.973
S3 0.000 0.308 0.717
S4 0.000 0.338 0.330
S5 0.000 0.497 0.613
```

Properties
Density, g/cm3: 3.63
Energy, eV per atom: -5.535
Total moment, μB per atom: 0.337
Raw formation energy, kJ/mol of formula units: -928


[16]
DFT (PBE-GGA) results for crystalline UTi2S6 at its relaxed geometry.

Geometry as CIF:
```
data_UTi2S6
_chemical_formula_sum 'U2 Ti4 S12'
_cell_length_a 16.684
_cell_length_b 3.614
_cell_length_c 7.847
_cell_angle_alpha 90.00
_cell_angle_beta 110.25
_cell_angle_gamma 90.00
_space_group_name_H-M_alt 'C 1 2/m 1'
_space_group_IT_number 12
loop_
_space_group_symop_operation_xyz
'x,y,z'
'-x,-y,-z'
'-x,y,-z'
'x,-y,z'
'x+1/2,y+1/2,z'
'-x+1/2,-y+1/2,-z'
'-x+1/2,y+1/2,-z'
'x+1/2,-y+1/2,z'
loop_
_atom_site_label
_atom_site_fract_x
_atom_site_fract_y
_atom_site_fract_z
U1 0.000 0.000 0.000
Ti1 0.174 0.500 0.352
S1 0.014 0.500 0.252
S2 0.166 0.000 0.125
S3 0.174 0.000 0.564
```

Properties
Density, g/cm3: 3.94
Energy, eV per atom: -7.045
Energy above the most stable polymorph in this dataset, meV/atom: 0
Total moment, μB per atom: 0.227
Raw formation energy, kJ/mol of formula units: -1116